Below is a geometry-optimized AlCr2Si structure, with properties calculated at the GGA-PBE level.

a b c (Å): 5.350 5.350 5.350
angles (deg): 103.50 103.50 122.21
Sites, in units of the cell vectors:
Al: 0.000 0.000 0.000
Al: 0.750 0.250 0.500
Cr: 0.146 0.125 0.521
Cr: 0.375 0.854 0.979
Cr: 0.604 0.625 0.479
Cr: 0.875 0.396 0.021
Si: 0.250 0.750 0.500
Si: 0.500 0.500 0.000

The uncorrected formation energy is 0.4320 eV/atom. The final energy comes out at -6.6711 eV per atom. As for the calculated volume: 14.18 Å³ per atom. The density of states at the Fermi level is 5.9 states/eV/f.u.

***

Below is a geometry-optimized AlCrSi2 structure, with properties calculated at the GGA-PBE level.

a b c (Å): 3.217 3.217 5.037
angles (deg): 90.00 90.00 90.00
Sites, in units of the cell vectors:
Al: 0.000 0.000 0.000
Cr: 0.500 0.500 0.263
Si: 0.000 0.000 0.487
Si: 0.500 0.500 0.744

The uncorrected formation energy is -0.0478 eV/atom. The final energy comes out at -6.1008 eV per atom. As for the calculated volume: 13.03 Å³ per atom. The density of states at the Fermi level is 2.9 states/eV/f.u.

***

Below is a geometry-optimized AlCr2Si structure, with properties calculated at the GGA-PBE level.

a b c (Å): 3.012 3.012 5.464
angles (deg): 90.00 90.00 90.00
Sites, in units of the cell vectors:
Al: 0.000 0.000 0.000
Cr: 0.000 0.000 0.496
Cr: 0.500 0.500 0.251
Si: 0.500 0.500 0.723

The uncorrected formation energy is -0.1969 eV/atom. The final energy comes out at -7.3000 eV per atom. As for the calculated volume: 12.39 Å³ per atom. The density of states at the Fermi level is 1.5 states/eV/f.u.

***

Below is a geometry-optimized AlCr2Si structure, with properties calculated at the GGA-PBE level.

a b c (Å): 2.550 4.208 4.641
angles (deg): 90.00 96.89 90.00
Sites, in units of the cell vectors:
Al: 0.000 0.000 0.000
Cr: 0.435 0.000 0.501
Cr: 0.600 0.500 0.203
Si: 0.049 0.500 0.697

The uncorrected formation energy is -0.0270 eV/atom. The final energy comes out at -7.1301 eV per atom. As for the calculated volume: 12.36 Å³ per atom. The density of states at the Fermi level is 3.7 states/eV/f.u.

***

Below is a geometry-optimized AlCr2Si structure, with properties calculated at the GGA-PBE level.

a b c (Å): 3.051 3.931 4.130
angles (deg): 90.00 90.00 90.00
Sites, in units of the cell vectors:
Al: 0.000 0.000 0.000
Cr: 0.000 0.500 0.500
Cr: 0.500 0.500 0.000
Si: 0.500 0.000 0.500

The uncorrected formation energy is -0.0354 eV/atom. The final energy comes out at -7.1385 eV per atom. As for the calculated volume: 12.38 Å³ per atom. The density of states at the Fermi level is 3.7 states/eV/f.u.

***

Below is a geometry-optimized Al2CrSi structure, with properties calculated at the GGA-PBE level.

a b c (Å): 4.364 4.364 4.364
angles (deg): 60.00 60.00 60.00
Sites, in units of the cell vectors:
Al: 0.000 0.000 0.000
Al: 0.250 0.250 0.250
Cr: 0.750 0.750 0.750
Si: 0.500 0.500 0.500

The uncorrected formation energy is 0.2310 eV/atom. The final energy comes out at -5.4019 eV per atom. As for the calculated volume: 14.69 Å³ per atom. The density of states at the Fermi level is 2.1 states/eV/f.u.

***

Below is a geometry-optimized AlCr2Si structure, with properties calculated at the GGA-PBE level.

a b c (Å): 3.008 3.008 5.649
angles (deg): 90.00 90.00 90.00
Sites, in units of the cell vectors:
Al: 0.000 0.000 0.000
Cr: 0.500 0.500 0.272
Cr: 0.500 0.500 0.728
Si: 0.000 0.000 0.500

The uncorrected formation energy is -0.0728 eV/atom. The final energy comes out at -7.1759 eV per atom. As for the calculated volume: 12.78 Å³ per atom. The density of states at the Fermi level is 3.7 states/eV/f.u.

***

Below is a geometry-optimized AlCrSi2 structure, with properties calculated at the GGA-PBE level.

a b c (Å): 2.702 2.702 7.514
angles (deg): 90.00 90.00 90.00
Sites, in units of the cell vectors:
Al: 0.000 0.000 0.000
Cr: 0.500 0.500 0.241
Si: 0.000 0.000 0.458
Si: 0.500 0.500 0.722

The uncorrected formation energy is 0.1490 eV/atom. The final energy comes out at -5.9040 eV per atom. As for the calculated volume: 13.71 Å³ per atom. The density of states at the Fermi level is 2.4 states/eV/f.u.

***

Below is a geometry-optimized AlCr2Si structure, with properties calculated at the GGA-PBE level.

a b c (Å): 2.588 2.588 7.826
angles (deg): 90.00 90.00 107.58
Sites, in units of the cell vectors:
Al: 0.000 0.000 0.000
Cr: 0.500 0.500 0.263
Cr: 0.500 0.500 0.737
Si: 0.000 0.000 0.500

The uncorrected formation energy is -0.0468 eV/atom. The final energy comes out at -7.1499 eV per atom. As for the calculated volume: 12.49 Å³ per atom. The density of states at the Fermi level is 3.2 states/eV/f.u.

***

Below is a geometry-optimized Al2CrSi2 structure, with properties calculated at the GGA-PBE level.

a b c (Å): 6.255 6.255 3.663
angles (deg): 90.00 90.00 90.00
Sites, in units of the cell vectors:
Al: 0.169 0.331 0.000
Al: 0.331 0.831 0.000
Al: 0.669 0.169 0.000
Al: 0.831 0.669 0.000
Cr: 0.000 0.000 0.500
Cr: 0.500 0.500 0.500
Si: 0.138 0.638 0.500
Si: 0.362 0.138 0.500
Si: 0.638 0.862 0.500
Si: 0.862 0.362 0.500

The uncorrected formation energy is 0.0285 eV/atom. The final energy comes out at -5.5624 eV per atom. As for the calculated volume: 14.33 Å³ per atom. The density of states at the Fermi level is 1.8 states/eV/f.u.

***

Below is a geometry-optimized AlCr2Si2 structure, with properties calculated at the GGA-PBE level.

a b c (Å): 6.506 6.506 6.506
angles (deg): 149.92 149.92 43.06
Sites, in units of the cell vectors:
Al: 0.000 0.000 0.000
Cr: 0.396 0.396 0.000
Cr: 0.604 0.604 0.000
Si: 0.250 0.750 0.500
Si: 0.750 0.250 0.500

The uncorrected formation energy is -0.0047 eV/atom. The final energy comes out at -6.7718 eV per atom. As for the calculated volume: 13.80 Å³ per atom. The density of states at the Fermi level is 3.7 states/eV/f.u.

***

Below is a geometry-optimized AlCrSi2 structure, with properties calculated at the GGA-PBE level.

a b c (Å): 5.570 5.570 5.570
angles (deg): 102.11 102.11 125.49
Sites, in units of the cell vectors:
Al: 0.000 0.000 0.000
Al: 0.750 0.250 0.500
Cr: 0.250 0.750 0.500
Cr: 0.500 0.500 0.000
Si: 0.139 0.625 0.014
Si: 0.375 0.389 0.514
Si: 0.611 0.125 0.986
Si: 0.875 0.861 0.486

The uncorrected formation energy is 0.4050 eV/atom. The final energy comes out at -5.6480 eV per atom. As for the calculated volume: 15.64 Å³ per atom. The density of states at the Fermi level is 3.1 states/eV/f.u.